# 1
DFT (PBE) results for crystalline VRe2Rh at its relaxed geometry.

abc: 3.9453 3.8196 3.8196
angles: 90.00 90.00 90.00
With the nearest neighbours (Å) after each atom.
Fractional coordinates of all 4 atoms:
Rh (0.5000, 0.0000, 0.0000)  4 V 2.70, 8 Re 2.75
Re (0.0000, 0.5000, 0.0000)  4 Re 2.70, 4 Rh 2.75, 4 V 2.75
Re (0.0000, 0.0000, 0.5000)  4 Re 2.70, 4 Rh 2.75, 4 V 2.75
V (0.5000, 0.5000, 0.5000)  4 Rh 2.70, 8 Re 2.75

Space group = No. 123
Polymorph energy (0 for the lowest one) = 0 kJ/mol of formula units
Volume = 14.4 A^3/atom
Total magnetic moment = 0.00 μB per formula unit
DFT total energy = -41.8 eV for the cell shown

***

# 2
DFT (PBE) results for crystalline VReRh3 at its relaxed geometry.

abc: 4.4312 4.4312 4.4312
angles: 90.00 90.00 90.00
With the nearest neighbours (Å) after each atom.
Fractional coordinates of all 5 atoms:
Re (0.5000, 0.5000, 0.5000)  12 Rh 3.13
Rh (0.5000, 0.0000, 0.0000)  2 V 2.22
Rh (0.0000, 0.0000, 0.5000)  2 V 2.22
Rh (0.0000, 0.5000, 0.0000)  2 V 2.22
V (0.0000, 0.0000, 0.0000)  6 Rh 2.22

Space group = No. 221
Polymorph energy (0 for the lowest one) = 684 kJ/mol of formula units
Volume = 17.4 A^3/atom
Total magnetic moment = 3.74 μB per formula unit
DFT total energy = -37.5 eV for the cell shown

***

# 3
DFT (PBE) results for crystalline VReRh4 at its relaxed geometry.

abc: 2.7409 4.3542 7.1959
angles: 90.00 101.06 90.00
With the nearest neighbours (Å) after each atom.
Fractional coordinates of all 6 atoms:
Rh (0.2764, 0.0027, 0.7976)  2 V 2.65, 8 Rh 2.67-2.81, 2 Re 2.72
Rh (0.9499, 0.0027, 0.1442)  6 Rh 2.68-2.81, 4 Re 2.70, 2 V 2.71-2.72
Rh (0.0597, 0.5027, 0.3662)  6 Rh 2.68-2.74, 4 V 2.69, 2 Re 2.74-2.75
Rh (0.7262, 0.5027, 0.6982)  8 Rh 2.67-2.74, 2 V 2.68, 2 Re 2.71
V (0.6145, 0.0028, 0.4758)  10 Rh 2.65-2.72, 2 V 2.74
Re (0.3921, 0.5027, 0.0293)  10 Rh 2.70-2.75, 2 Re 2.74

Space group = No. 6
Polymorph energy (0 for the lowest one) = 0 kJ/mol of formula units
Volume = 14.0 A^3/atom
Total magnetic moment = 0.00 μB per formula unit
DFT total energy = -52.6 eV for the cell shown

***

# 4
DFT (PBE) results for crystalline VRe3Rh at its relaxed geometry.

abc: 4.4267 4.4267 4.4267
angles: 90.00 90.00 90.00
With the nearest neighbours (Å) after each atom.
Fractional coordinates of all 5 atoms:
Rh (0.5000, 0.5000, 0.5000)  12 Re 3.13
Re (0.0000, 0.0000, 0.5000)  2 V 2.21
Re (0.5000, 0.0000, 0.0000)  2 V 2.21
Re (0.0000, 0.5000, 0.0000)  2 V 2.21
V (0.0000, 0.0000, 0.0000)  6 Re 2.21

Space group = No. 221
Polymorph energy (0 for the lowest one) = 0 kJ/mol of formula units
Volume = 17.3 A^3/atom
Total magnetic moment = 0.00 μB per formula unit
DFT total energy = -45.7 eV for the cell shown

***

Energy of formation from the pure elements readings, ordered: -102.9 1218.6 -269.8 1632.1 meV per atom